Entry 1:
Material: ReN
Method: DFT, GGA-PBE
State: optimized geometry

Values from the calculation:
- energy above the most stable polymorph in this dataset (eV per atom) = 0.1605
- raw total energy (eV/atom) = -10.1823
- formation energy without anion corrections (eV per atom) = 0.204

Lattice parameters (Å, degrees): 2.7898 2.7898 19.1013 90.00 90.00 120.00
Space group R3m (No. 160, hexagonal axes)
Symmetry-distinct sites (fractional):
Re 0.0000 0.0000 0.0000 [3 per cell]
Re 0.0000 0.0000 0.1575 [3 per cell]
N 0.0000 0.0000 0.4030 [3 per cell]
N 0.0000 0.0000 0.8912 [3 per cell]

Entry 2:
Material: SiSb2Se
Method: DFT, GGA-PBE
State: optimized geometry

Values from the calculation:
- energy above the most stable polymorph in this dataset (eV per atom) = 0.2833
- raw total energy (eV/atom) = -3.9240
- formation energy without anion corrections (eV per atom) = 0.364

Lattice parameters (Å, degrees): 5.1340 5.1340 3.4150 90.00 90.00 90.00
Space group P4/mmm (No. 123)
Symmetry-distinct sites (fractional):
Si 0.0000 0.0000 0.0000 [1 per cell]
Sb 0.0000 0.5000 0.5000 [2 per cell]
Se 0.5000 0.5000 0.0000 [1 per cell]

Entry 3:
Material: Ac2YAg6
Method: DFT, GGA-PBE
State: optimized geometry

Values from the calculation:
- raw total energy (eV/atom) = -3.7899
- DFT formation energy (meV/atom) = -258

Lattice parameters (Å, degrees): 8.4187 8.4187 3.7586 90.00 90.00 120.00
Space group P6/mmm (No. 191)
Symmetry-distinct sites (fractional):
Ac 0.3333 0.6667 0.0000 [2 per cell]
Y 0.0000 0.0000 0.0000 [1 per cell]
Ag 0.0000 0.3283 0.5000 [6 per cell]

Entry 4:
Material: PmSn4Pt2
Method: DFT, GGA-PBE
State: optimized geometry

Values from the calculation:
- raw total energy (eV/atom) = -5.1312
- DFT formation energy (meV/atom) = -439

Lattice parameters (Å, degrees): 4.5720 17.9176 4.1492 90.00 90.00 90.00
Space group Cmmm (No. 65)
Symmetry-distinct sites (fractional):
Pm 0.0000 0.0000 0.0000 [2 per cell]
Sn 0.0000 0.1584 0.5000 [4 per cell]
Sn 0.0000 0.3186 0.0000 [4 per cell]
Pt 0.0000 0.4264 0.5000 [4 per cell]

Entry 5:
Material: Dy3Hg8
Method: DFT, GGA-PBE
State: optimized geometry

Values from the calculation:
- raw total energy (eV/atom) = -1.7962
- DFT formation energy (meV/atom) = -322

Lattice parameters (Å, degrees): 5.0262 5.0262 36.2644 90.00 90.00 120.00
Space group R-3m (No. 166, hexagonal axes)
Symmetry-distinct sites (fractional):
Dy 0.0000 0.0000 0.0000 [3 per cell]
Dy 0.0000 0.0000 0.4505 [6 per cell]
Hg 0.0000 0.0000 0.0866 [6 per cell]
Hg 0.0000 0.0000 0.1710 [6 per cell]
Hg 0.0000 0.0000 0.2718 [6 per cell]
Hg 0.0000 0.0000 0.3626 [6 per cell]

Entry 6:
Material: TbPtF7
Method: DFT, GGA-PBE
State: optimized geometry

Values from the calculation:
- raw total energy (eV/atom) = -5.2334
- formation energy without anion corrections (eV per atom) = -2.592

Lattice parameters (Å, degrees): 8.9307 5.5576 12.0260 90.00 117.67 90.00
Space group P2_1/c (No. 14)
Symmetry-distinct sites (fractional):
Tb 0.1866 0.2393 0.2647 [4 per cell]
Pt 0.2726 0.7422 0.0432 [4 per cell]
F 0.0248 0.7445 0.9496 [4 per cell]
F 0.0307 0.5865 0.7323 [4 per cell]
F 0.2543 0.5528 0.1748 [4 per cell]
F 0.2735 0.0351 0.1352 [4 per cell]
F 0.2798 0.0577 0.4579 [4 per cell]
F 0.2964 0.5627 0.4158 [4 per cell]
F 0.4796 0.2285 0.3581 [4 per cell]

Entry 7:
Material: Al3Te
Method: DFT, GGA-PBE
State: optimized geometry

Values from the calculation:
- energy above the most stable polymorph in this dataset (eV per atom) = 0.1662
- raw total energy (eV/atom) = -3.3802
- formation energy without anion corrections (eV per atom) = 0.212

Lattice parameters (Å, degrees): 6.3836 6.3836 4.7729 90.00 90.00 120.00
Space group P6_3/mmc (No. 194)
Symmetry-distinct sites (fractional):
Al 0.1494 0.2989 0.2500 [6 per cell]
Te 0.3333 0.6667 0.7500 [2 per cell]

Entry 8:
Material: Co2IrRhSe6
Method: DFT, GGA-PBE
State: optimized geometry

Values from the calculation:
- raw total energy (eV/atom) = -5.3699
- formation energy without anion corrections (eV per atom) = -0.237

Lattice parameters (Å, degrees): 10.8368 11.8638 6.1588 90.00 111.98 90.00
Space group C2/c (No. 15)
Symmetry-distinct sites (fractional):
Co 0.1210 0.1010 0.2064 [8 per cell]
Ir 0.0000 0.2383 0.7500 [4 per cell]
Rh 0.0000 0.4239 0.2500 [4 per cell]
Se 0.1023 0.0902 0.5726 [8 per cell]
Se 0.1347 0.4104 0.6804 [8 per cell]
Se 0.1394 0.2891 0.1579 [8 per cell]

Entry 9:
Material: LaLu2Th
Method: DFT, GGA-PBE
State: optimized geometry

Values from the calculation:
- energy above the most stable polymorph in this dataset (eV per atom) = 0.0322
- raw total energy (eV/atom) = -5.3045
- DFT formation energy (meV/atom) = 43

Lattice parameters (Å, degrees): 5.1196 5.1196 4.8597 90.00 90.00 90.00
Space group P4/mmm (No. 123)
Symmetry-distinct sites (fractional):
La 0.0000 0.0000 0.0000 [1 per cell]
Lu 0.0000 0.5000 0.5000 [2 per cell]
Th 0.5000 0.5000 0.0000 [1 per cell]

Entry 10:
Material: PrDySe2Cl
Method: DFT, GGA-PBE
State: optimized geometry

Values from the calculation:
- raw total energy (eV/atom) = -5.5227
- formation energy without anion corrections (eV per atom) = -1.883

Lattice parameters (Å, degrees): 4.1884 4.1884 14.1641 90.00 90.00 90.00
Space group P4/nmm (No. 129, origin choice 2)
Symmetry-distinct sites (fractional):
Pr 0.2500 0.2500 0.1471 [2 per cell]
Dy 0.2500 0.2500 0.5902 [2 per cell]
Se 0.2500 0.2500 0.3846 [2 per cell]
Se 0.2500 0.2500 0.7935 [2 per cell]
Cl 0.2500 0.7500 0.0000 [2 per cell]

Entry 11:
Material: CaPmMgHg
Method: DFT, GGA-PBE
State: optimized geometry

Values from the calculation:
- raw total energy (eV/atom) = -2.4638
- DFT formation energy (meV/atom) = -302

Lattice parameters (Å, degrees): 7.6672 7.6672 7.6672 90.00 90.00 90.00
Space group F-43m (No. 216)
Symmetry-distinct sites (fractional):
Ca 0.0000 0.0000 0.0000 [4 per cell]
Pm 0.0000 0.0000 0.5000 [4 per cell]
Mg 0.2500 0.2500 0.2500 [4 per cell]
Hg 0.2500 0.2500 0.7500 [4 per cell]

Entry 12:
Material: RbCaP
Method: DFT, GGA-PBE
State: optimized geometry

Values from the calculation:
- raw total energy (eV/atom) = -2.9894
- DFT formation energy (meV/atom) = -196

Lattice parameters (Å, degrees): 10.4876 7.4671 7.4047 90.00 90.00 90.00
Space group Pnma (No. 62)
Symmetry-distinct sites (fractional):
Rb 0.1239 0.2500 0.0217 [4 per cell]
Ca 0.0000 0.0000 0.5000 [4 per cell]
P 0.1102 0.7500 0.2854 [4 per cell]

Entry 13:
Material: Ti4BeCo2Ru
Method: DFT, GGA-PBE
State: optimized geometry

Values from the calculation:
- raw total energy (eV/atom) = -7.7450
- DFT formation energy (meV/atom) = -396

Lattice parameters (Å, degrees): 4.2414 4.2414 20.9268 90.00 90.00 120.00
Space group R-3m (No. 166, hexagonal axes)
Symmetry-distinct sites (fractional):
Ti 0.0000 0.0000 0.1237 [6 per cell]
Ti 0.0000 0.0000 0.3739 [6 per cell]
Be 0.0000 0.0000 0.0000 [3 per cell]
Co 0.0000 0.0000 0.2544 [6 per cell]
Ru 0.0000 0.0000 0.5000 [3 per cell]

Entry 14:
Material: Y5Cu
Method: DFT, GGA-PBE
State: optimized geometry

Values from the calculation:
- energy above the most stable polymorph in this dataset (eV per atom) = 0.8068
- raw total energy (eV/atom) = -5.3155
- DFT formation energy (meV/atom) = 754

Lattice parameters (Å, degrees): 6.3306 6.3306 5.8423 90.00 90.00 120.00
Space group P6/mmm (No. 191)
Symmetry-distinct sites (fractional):
Y 0.0000 0.5000 0.0000 [3 per cell]
Y 0.3333 0.6667 0.5000 [2 per cell]
Cu 0.0000 0.0000 0.5000 [1 per cell]

Entry 15:
Material: TiAsIr3
Method: DFT, GGA-PBE
State: optimized geometry

Values from the calculation:
- energy above the most stable polymorph in this dataset (eV per atom) = 0.0000
- raw total energy (eV/atom) = -6.9792
- DFT formation energy (meV/atom) = 846

Lattice parameters (Å, degrees): 4.5448 4.5448 4.5448 90.00 90.00 90.00
Space group Pm-3m (No. 221)
Symmetry-distinct sites (fractional):
Ti 0.0000 0.0000 0.0000 [1 per cell]
As 0.5000 0.5000 0.5000 [1 per cell]
Ir 0.0000 0.5000 0.5000 [3 per cell]

Entry 16:
Material: ErHfTaN3
Method: DFT, GGA-PBE
State: optimized geometry

Values from the calculation:
- raw total energy (eV/atom) = -10.1184
- formation energy without anion corrections (eV per atom) = -1.561

Lattice parameters (Å, degrees): 5.5895 3.2197 8.3478 90.00 102.86 90.00
Space group P2_1/m (No. 11)
Symmetry-distinct sites (fractional):
Er 0.1486 0.2500 0.1897 [2 per cell]
Hf 0.2672 0.7500 0.5483 [2 per cell]
Ta 0.3744 0.2500 0.8654 [2 per cell]
N 0.0569 0.2500 0.6609 [2 per cell]
N 0.2383 0.7500 0.9939 [2 per cell]
N 0.4583 0.7500 0.3446 [2 per cell]

Entry 17:
Material: Hf2AlAgTe
Method: DFT, GGA-PBE
State: optimized geometry

Values from the calculation:
- raw total energy (eV/atom) = -5.0316
- formation energy without anion corrections (eV per atom) = 0.897

Lattice parameters (Å, degrees): 5.0365 5.0365 5.1821 90.00 90.00 90.00
Space group P4/mmm (No. 123)
Symmetry-distinct sites (fractional):
Hf 0.0000 0.5000 0.0000 [2 per cell]
Al 0.0000 0.0000 0.0000 [1 per cell]
Ag 0.5000 0.5000 0.5000 [1 per cell]
Te 0.0000 0.0000 0.5000 [1 per cell]

Entry 18:
Material: CsK2CdAs
Method: DFT, GGA-PBE
State: optimized geometry

Values from the calculation:
- raw total energy (eV/atom) = -1.8496
- DFT formation energy (meV/atom) = -127

Lattice parameters (Å, degrees): 6.5437 6.5437 5.6143 90.00 90.00 90.00
Space group P4/mmm (No. 123)
Symmetry-distinct sites (fractional):
Cs 0.0000 0.0000 0.0000 [1 per cell]
K 0.0000 0.5000 0.5000 [2 per cell]
Cd 0.5000 0.5000 0.0000 [1 per cell]
As 0.5000 0.5000 0.5000 [1 per cell]

Entry 19:
Material: K2Zr2CuS6
Method: DFT, GGA-PBE
State: optimized geometry

Values from the calculation:
- raw total energy (eV/atom) = -5.5753
- formation energy without anion corrections (eV per atom) = -1.198

Lattice parameters (Å, degrees): 6.3756 11.3639 7.8472 90.00 105.52 90.00
Space group C2/m (No. 12)
Symmetry-distinct sites (fractional):
K 0.0000 0.1604 0.0000 [4 per cell]
Zr 0.0000 0.3306 0.5000 [4 per cell]
Cu 0.0000 0.0000 0.5000 [2 per cell]
S 0.2377 0.1709 0.6949 [8 per cell]
S 0.2469 0.5000 0.6740 [4 per cell]

Entry 20:
Material: ZrSiW2
Method: DFT, GGA-PBE
State: optimized geometry

Values from the calculation:
- raw total energy (eV/atom) = -9.4943
- formation energy without anion corrections (eV per atom) = 0.475

Lattice parameters (Å, degrees): 7.6215 7.6215 5.1156 90.00 90.00 90.00
Space group I-42d (No. 122)
Symmetry-distinct sites (fractional):
Zr 0.0000 0.0000 0.0000 [4 per cell]
Si 0.0000 0.0000 0.5000 [4 per cell]
W 0.1801 0.2500 0.6250 [8 per cell]

Entry 21:
Material: Mg2TlHg4
Method: DFT, GGA-PBE
State: optimized geometry

Values from the calculation:
- raw total energy (eV/atom) = -1.0425
- DFT formation energy (meV/atom) = -76

Lattice parameters (Å, degrees): 3.5344 3.5344 47.6397 90.00 90.00 120.00
Space group R-3m (No. 166, hexagonal axes)
Symmetry-distinct sites (fractional):
Mg 0.0000 0.0000 0.0986 [6 per cell]
Tl 0.0000 0.0000 0.0000 [3 per cell]
Hg 0.0000 0.0000 0.1910 [6 per cell]
Hg 0.0000 0.0000 0.3871 [6 per cell]

Entry 22:
Material: NbIrRu
Method: DFT, GGA-PBE
State: optimized geometry

Values from the calculation:
- energy above the most stable polymorph in this dataset (eV per atom) = 0.1622
- raw total energy (eV/atom) = -9.5632
- DFT formation energy (meV/atom) = -161

Lattice parameters (Å, degrees): 4.4023 4.4023 5.6146 90.00 90.00 120.00
Space group P6_3/mmc (No. 194)
Symmetry-distinct sites (fractional):
Nb 0.0000 0.0000 0.0000 [2 per cell]
Ir 0.3333 0.6667 0.2500 [2 per cell]
Ru 0.3333 0.6667 0.7500 [2 per cell]